First-principles (PBE) data for an optimized crystal structure of TlInGa2I4, as listed in the Alexandria database.

```
TlInGa2I4
1.0
-2.046 3.917 -1.936
0.212 -3.641 -7.591
-7.065 -4.286 -1.207
Ga Tl In I
2 1 1 4
direct
0.500 0.000 0.500
0.000 0.000 0.000
0.000 0.500 0.500
0.500 0.500 0.000
0.500 0.769 0.242
0.000 0.767 0.746
0.500 0.231 0.758
0.000 0.233 0.254
```

Results
symmetry: P2/m
ΔE_f (raw): -0.45 eV/atom

***

First-principles (PBE) data for an optimized crystal structure of Tl3In4GaI8, as listed in the Alexandria database.

```
Tl3In4GaI8
1.0
9.911 0.000 0.000
0.000 9.905 -0.011
-4.956 -4.951 7.011
In Tl Ga I
4 3 1 8
direct
0.500 0.000 0.000
0.000 0.000 0.000
0.500 0.000 0.500
0.000 0.000 0.500
0.500 0.500 0.500
0.500 0.500 0.000
0.000 0.500 0.500
0.000 0.500 0.000
0.756 0.253 0.998
0.755 0.253 0.511
0.758 0.747 0.002
0.245 0.747 0.489
0.242 0.253 0.998
0.751 0.754 0.502
0.249 0.246 0.498
0.244 0.747 0.002
```

Results
symmetry: R-3m
ΔE_f (raw): -0.52 eV/atom

***

First-principles (PBE) data for an optimized crystal structure of TlInGaI3, as listed in the Alexandria database.

```
TlInGaI3
1.0
-3.368 2.764 -1.863
-6.703 -7.058 1.644
0.957 7.512 9.416
I Ga In Tl
6 2 2 2
direct
0.250 0.078 0.895
0.250 0.827 0.532
0.750 0.439 0.135
0.250 0.561 0.865
0.750 0.922 0.105
0.750 0.173 0.468
0.750 0.839 0.363
0.250 0.161 0.637
0.250 0.697 0.153
0.750 0.303 0.847
0.750 0.800 0.801
0.250 0.200 0.199
```

Results
symmetry: P2_1/m
ΔE_f (raw): -0.46 eV/atom

***

First-principles (PBE) data for an optimized crystal structure of Tl2In3GaI6, as listed in the Alexandria database.

```
Tl2In3GaI6
1.0
-3.427 1.979 2.942
0.997 -7.588 6.267
8.926 6.129 2.140
I In Tl Ga
6 3 2 1
direct
0.665 0.584 0.331
0.997 0.237 0.995
0.660 0.076 0.320
0.335 0.416 0.669
0.340 0.924 0.680
0.003 0.763 0.005
0.167 0.835 0.335
0.833 0.165 0.665
0.500 0.500 0.000
0.165 0.330 0.330
0.835 0.670 0.670
0.500 0.000 0.000
```

Results
symmetry: C2/m
ΔE_f (raw): -0.50 eV/atom

***

First-principles (PBE) data for an optimized crystal structure of TlIn3Ga2I6, as listed in the Alexandria database.

```
TlIn3Ga2I6
1.0
4.873 0.000 0.000
0.000 9.789 0.339
-2.437 -2.829 10.259
Ga I In Tl
2 6 3 1
direct
0.169 0.336 0.339
0.831 0.664 0.661
0.329 0.426 0.659
0.330 0.904 0.660
0.993 0.744 0.986
0.671 0.574 0.341
0.007 0.256 0.014
0.670 0.096 0.340
0.500 0.500 0.000
0.834 0.170 0.669
0.166 0.830 0.331
0.500 0.000 0.000
```

Results
symmetry: C2/m
ΔE_f (raw): -0.45 eV/atom

***

First-principles (PBE) data for an optimized crystal structure of Tl3InGa2I6, as listed in the Alexandria database.

```
Tl3InGa2I6
1.0
4.889 0.000 0.000
0.000 9.822 0.335
-2.445 -2.843 10.305
Tl I Ga In
3 6 2 1
direct
0.835 0.169 0.669
0.500 0.500 0.000
0.165 0.831 0.331
0.329 0.428 0.657
0.993 0.749 0.987
0.007 0.251 0.013
0.671 0.572 0.343
0.332 0.903 0.664
0.668 0.097 0.336
0.831 0.664 0.662
0.169 0.336 0.338
0.500 0.000 0.000
```

Results
symmetry: C2/m
ΔE_f (raw): -0.52 eV/atom

***

First-principles (PBE) data for an optimized crystal structure of Tl2InGaI6, as listed in the Alexandria database.

```
Tl2InGaI6
1.0
8.405 0.001 0.001
4.203 7.279 0.000
4.203 2.427 7.093
I Tl In Ga
6 2 1 1
direct
0.174 0.996 0.262
0.096 0.472 0.774
0.996 0.568 0.262
0.657 0.096 0.774
0.472 0.657 0.774
0.568 0.174 0.262
0.531 0.531 0.406
0.026 0.026 0.923
0.323 0.323 0.030
0.818 0.818 0.547
```

Results
symmetry: R3
ΔE_f (raw): -0.51 eV/atom

***

First-principles (PBE) data for an optimized crystal structure of TlIn2GaI4, as listed in the Alexandria database.

```
TlIn2GaI4
1.0
-0.248 -4.892 -0.283
0.436 -0.513 8.481
-7.866 0.211 3.252
In I Ga Tl
2 4 1 1
direct
0.000 0.000 0.000
0.500 0.000 0.500
0.000 0.260 0.238
0.000 0.740 0.762
0.500 0.747 0.242
0.500 0.253 0.758
0.500 0.500 0.000
0.000 0.500 0.500
```

Results
symmetry: P2/m
ΔE_f (raw): -0.47 eV/atom

***

First-principles (PBE) data for an optimized crystal structure of TlIn2GaI8, as listed in the Alexandria database.

```
TlIn2GaI8
1.0
-3.572 3.296 -5.969
-0.161 -7.651 0.835
-9.448 0.868 6.133
I In Ga Tl
8 2 1 1
direct
0.004 0.682 0.306
0.678 0.996 0.306
0.322 0.004 0.694
0.682 0.678 0.694
0.667 0.333 0.990
0.318 0.322 0.306
0.333 0.667 0.010
0.996 0.318 0.694
0.333 0.667 0.767
0.667 0.333 0.233
0.000 0.000 0.500
0.000 0.000 0.000
```

Results
symmetry: P-3
ΔE_f (raw): -0.48 eV/atom

***

First-principles (PBE) data for an optimized crystal structure of TmIn2GaI6, as listed in the Alexandria database.

```
TmIn2GaI6
1.0
8.440 0.001 0.001
4.221 7.307 0.000
4.221 2.436 7.240
I In Ga Tm
6 2 1 1
direct
0.450 0.673 0.771
0.674 0.106 0.771
0.191 0.986 0.254
0.106 0.450 0.771
0.986 0.569 0.254
0.569 0.191 0.254
0.525 0.525 0.424
0.017 0.017 0.948
0.819 0.819 0.544
0.325 0.325 0.025
```

Results
symmetry: R3
ΔE_f (raw): -0.79 eV/atom

***

First-principles (PBE) data for an optimized crystal structure of TmInGa2I6, as listed in the Alexandria database.

```
TmInGa2I6
1.0
-3.955 4.337 -5.731
-2.804 -3.713 -6.754
-8.717 -1.150 -0.735
Ga I Tm In
2 6 1 1
direct
0.513 0.513 0.462
0.005 0.005 0.986
0.238 0.956 0.236
0.128 0.397 0.766
0.397 0.709 0.765
0.569 0.238 0.236
0.710 0.128 0.766
0.956 0.570 0.236
0.327 0.327 0.019
0.819 0.819 0.542
```

Results
symmetry: P1
ΔE_f (raw): -0.77 eV/atom

***

First-principles (PBE) data for an optimized crystal structure of UInGa2I8, as listed in the Alexandria database.

```
UInGa2I8
1.0
-7.074 1.017 -3.405
-1.568 -7.076 1.098
-3.817 2.170 8.590
I Ga U In
8 2 1 1
direct
0.658 0.727 0.500
0.697 0.773 0.000
0.149 0.768 0.781
0.148 0.767 0.220
0.303 0.227 0.000
0.851 0.232 0.219
0.342 0.273 0.500
0.852 0.233 0.780
0.500 0.500 0.276
0.500 0.500 0.724
0.000 0.000 0.000
0.000 0.000 0.500
```

Results
symmetry: P-1
ΔE_f (raw): -0.56 eV/atom

***

> What is the ΔE_f (raw) in the eighth record?

-0.47 eV/atom

***

Repeat the eighth record exactly.
First-principles (PBE) data for an optimized crystal structure of TlIn2GaI4, as listed in the Alexandria database.

```
TlIn2GaI4
1.0
-0.248 -4.892 -0.283
0.436 -0.513 8.481
-7.866 0.211 3.252
In I Ga Tl
2 4 1 1
direct
0.000 0.000 0.000
0.500 0.000 0.500
0.000 0.260 0.238
0.000 0.740 0.762
0.500 0.747 0.242
0.500 0.253 0.758
0.500 0.500 0.000
0.000 0.500 0.500
```

Results
symmetry: P2/m
ΔE_f (raw): -0.47 eV/atom

***

> Which value of ΔE_f (raw) does entry 4 give?

-0.50 eV/atom

***

Please write out number 9 again, unchanged.
First-principles (PBE) data for an optimized crystal structure of TlIn2GaI8, as listed in the Alexandria database.

```
TlIn2GaI8
1.0
-3.572 3.296 -5.969
-0.161 -7.651 0.835
-9.448 0.868 6.133
I In Ga Tl
8 2 1 1
direct
0.004 0.682 0.306
0.678 0.996 0.306
0.322 0.004 0.694
0.682 0.678 0.694
0.667 0.333 0.990
0.318 0.322 0.306
0.333 0.667 0.010
0.996 0.318 0.694
0.333 0.667 0.767
0.667 0.333 0.233
0.000 0.000 0.500
0.000 0.000 0.000
```

Results
symmetry: P-3
ΔE_f (raw): -0.48 eV/atom